Run one
Material: Sr2ScOsSe6
Method: DFT, PBE-GGA
State: relaxed

Summary:
The calculated volume is 25.31 Å³ per atom.

Cell: 12.1696 6.9856 7.3588 Å, 90.00 125.97 90.00°
Space group C2/m (No. 12)
Asymmetric unit:
Sr 0.2500 0.0000 0.2382 [4 per cell]
Sc 0.0000 0.0000 0.5000 [2 per cell]
Os 0.0000 0.5000 0.0000 [2 per cell]
Se 0.0542 0.2528 0.8157 [8 per cell]
Se 0.2422 0.5000 0.3439 [4 per cell]

Run two
Material: Sr2ScOsSe6
Method: DFT, PBE-GGA
State: relaxed

Summary:
The calculated volume is 24.72 Å³ per atom.

Cell: 6.6862 6.7444 7.2173 Å, 117.62 117.07 90.16°
Space group P-1 (No. 2)
Asymmetric unit:
Sr 0.2491 0.2529 0.4991 [2 per cell]
Sc 0.5000 0.0000 0.0000 [1 per cell]
Os 0.0000 0.5000 0.0000 [1 per cell]
Se 0.1500 0.1614 0.9930 [2 per cell]
Se 0.2358 0.7298 0.4735 [2 per cell]
Se 0.3405 0.6553 0.0047 [2 per cell]

Quick look at relative energies in meV/atom: run one 22; run two 0.